1.
The following is a GGA-PBE calculation of an optimized crystal structure of Sm4SiBiTe2, from the Alexandria database.

```
8
Lattice="4.4066 0.0000 0.0000 0.0000 7.6892 -0.1691 0.0000 2.6911 7.2172" Properties=species:S:1:pos:R:3 pbc="T T T"
Sm 0.0001 7.6338 5.1969
Sm 4.4066 2.7465 1.8513
Sm 2.2034 6.3227 1.8404
Sm 2.2034 4.0576 5.2077
Te 2.2033 1.3455 3.6086
Te 0.0000 2.6911 7.2172
Si 0.0000 5.1901 3.5241
Bi 2.2034 6.5357 7.1327
```

Summary:
raw formation energy: -1.158 eV/atom
SG: P2/m (10)
density: 7.37 g/cm³


2.
The following is a GGA-PBE calculation of an optimized crystal structure of SiSnBi2, from the Alexandria database.

```
8
Lattice="7.1883 0.0000 0.0000 0.0000 7.1883 0.0000 3.5942 3.5942 5.7522" Properties=species:S:1:pos:R:3 pbc="T T T"
Bi 8.9854 8.7006 4.3141
Bi 2.0818 5.3912 1.4380
Bi 5.3912 5.6760 4.3141
Bi 5.1065 1.7971 1.4380
Sn 0.0000 0.0000 0.0000
Sn 7.1883 3.5942 2.8761
Si 3.5942 7.1883 2.8761
Si 3.5942 3.5942 0.0000
```

Summary:
raw formation energy: 0.392 eV/atom
SG: I-42d (122)
density: 6.31 g/cm³
distance to the lowest polymorph of the same formula: 13 meV per atom


3.
The following is a GGA-PBE calculation of an optimized crystal structure of SiSn2Bi, from the Alexandria database.

```
4
Lattice="3.8048 -3.0303 2.0442 0.2919 -0.7050 5.2207 -1.2038 -4.6880 2.1004" Properties=species:S:1:pos:R:3 pbc="T T T"
Sn 0.7232 -2.1058 2.3413
Sn 2.1696 -6.3174 7.0240
Si 0.0000 0.0000 0.0000
Bi 1.4464 -4.2116 4.6827
```

Summary:
raw formation energy: 0.364 eV/atom
SG: Fm-3m (225)
density: 7.59 g/cm³
distance to the lowest polymorph of the same formula: 139 meV per atom


4.
The following is a GGA-PBE calculation of an optimized crystal structure of SiSnBi3, from the Alexandria database.

```
5
Lattice="5.7614 0.0000 0.0000 0.0000 5.7614 0.0000 0.0000 0.0000 5.7614" Properties=species:S:1:pos:R:3 pbc="T T T"
Bi 0.0000 0.0000 2.8807
Bi 0.0000 2.8807 0.0000
Bi 2.8807 0.0000 0.0000
Si 2.8807 2.8807 2.8807
Sn 0.0000 0.0000 0.0000
```

Summary:
raw formation energy: 1.104 eV/atom
SG: Pm-3m (221)
density: 6.72 g/cm³
distance to the lowest polymorph of the same formula: 556 meV per atom


5.
The following is a GGA-PBE calculation of an optimized crystal structure of SiSnBi3, from the Alexandria database.

```
5
Lattice="-5.0990 1.2146 1.4938 -1.7784 -4.5916 -2.3370 0.7376 -2.6738 4.6919" Properties=species:S:1:pos:R:3 pbc="T T T"
Si 0.0000 0.0000 0.0000
Sn -3.0699 -3.0254 1.9243
Bi 0.3688 -1.3369 2.3459
Bi -2.5495 0.6073 0.7469
Bi -0.8892 -2.2958 -1.1685
```

Summary:
raw formation energy: 0.548 eV/atom
SG: Pm-3m (221)
density: 7.94 g/cm³
distance to the lowest polymorph of the same formula: 0 meV per atom


6.
The following is a GGA-PBE calculation of an optimized crystal structure of Si2SnBi2, from the Alexandria database.

```
10
Lattice="-4.7727 3.2405 -5.1251 -4.3185 -6.3950 -0.0219 -2.3078 1.5477 3.1277" Properties=species:S:1:pos:R:3 pbc="T T T"
Si -6.8809 -1.0394 -4.5628
Si -3.4076 1.2659 -3.1407
Si -5.6836 -4.4204 -2.0063
Si -2.2103 -2.1151 -0.5842
Bi -3.4562 0.6114 -0.0545
Bi -7.9428 -2.2182 -1.9648
Bi -6.4038 1.4005 -2.6199
Bi -4.9952 -3.0073 0.6006
Sn -4.5456 -1.5773 -2.5735
Sn 0.0000 0.0000 0.0000
```

Summary:
raw formation energy: 0.393 eV/atom
SG: P4/mbm (127)
density: 7.90 g/cm³
distance to the lowest polymorph of the same formula: 121 meV per atom


7.
The following is a GGA-PBE calculation of an optimized crystal structure of SiSn2Bi, from the Alexandria database.

```
8
Lattice="6.6101 0.0000 0.0000 0.0000 6.6101 0.0000 3.3051 3.3051 6.3391" Properties=species:S:1:pos:R:3 pbc="T T T"
Si 3.3051 6.6101 3.1695
Si 3.3051 3.3051 0.0000
Sn 4.6291 1.6525 1.5848
Sn 1.9810 4.9576 1.5848
Sn 4.9576 5.2860 4.7543
Sn 8.2626 7.9342 4.7543
Bi 0.0000 0.0000 0.0000
Bi 6.6101 3.3051 3.1695
```

Summary:
raw formation energy: 0.226 eV/atom
SG: I-42d (122)
density: 5.69 g/cm³
distance to the lowest polymorph of the same formula: 0 meV per atom


8.
The following is a GGA-PBE calculation of an optimized crystal structure of Si2SnBi2, from the Alexandria database.

```
5
Lattice="-2.0896 2.6952 -0.4823 -1.6303 -0.7374 2.9430 4.9864 7.2466 6.5933" Properties=species:S:1:pos:R:3 pbc="T T T"
Si 0.5184 5.4604 3.6707
Si 0.7480 3.7441 5.3834
Sn 0.0000 0.0000 0.0000
Bi 1.4839 6.7218 6.5370
Bi -0.2174 2.4826 2.5170
```

Summary:
raw formation energy: 0.273 eV/atom
SG: I4/mmm (139)
density: 7.74 g/cm³
distance to the lowest polymorph of the same formula: 0 meV per atom


9.
The following is a GGA-PBE calculation of an optimized crystal structure of SiSnBi2, from the Alexandria database.

```
4
Lattice="0.0000 3.7665 3.7665 3.7665 0.0000 3.7665 3.7665 3.7665 0.0000" Properties=species:S:1:pos:R:3 pbc="T T T"
Bi 1.8833 1.8833 1.8833
Bi 5.6498 5.6498 5.6498
Si 0.0000 0.0000 0.0000
Sn 3.7665 3.7665 3.7665
```

Summary:
raw formation energy: 0.379 eV/atom
SG: Fm-3m (225)
density: 8.78 g/cm³
distance to the lowest polymorph of the same formula: 0 meV per atom


10.
The following is a GGA-PBE calculation of an optimized crystal structure of VSi2SnBi, from the Alexandria database.

```
5
Lattice="-0.3061 -4.6240 -2.7092 5.0904 -0.1157 -0.3777 0.2807 -2.7237 4.6171" Properties=species:S:1:pos:R:3 pbc="T T T"
Bi 0.0000 0.0000 0.0000
Si -0.1531 -2.3120 -1.3546
Si 0.1403 -1.3619 2.3085
Sn 2.5325 -3.7317 0.7651
V 2.5452 -0.0579 -0.1889
```

Summary:
raw formation energy: 1.582 eV/atom
SG: P4/mmm (123)
density: 4.91 g/cm³


11.
The following is a GGA-PBE calculation of an optimized crystal structure of SrSiBi3, from the Alexandria database.

```
5
Lattice="-0.2109 -5.4804 0.8130 3.6336 -0.7510 -4.1199 4.1824 0.3761 3.6203" Properties=species:S:1:pos:R:3 pbc="T T T"
Si 0.0000 0.0000 0.0000
Bi 2.0912 0.1881 1.8101
Bi 1.8168 -0.3755 -2.0599
Bi -0.1055 -2.7402 0.4065
Sr 3.8026 -2.9277 0.1567
```

Summary:
raw formation energy: 0.101 eV/atom
SG: Pm-3m (221)
density: 7.24 g/cm³
distance to the lowest polymorph of the same formula: 0 meV per atom


12.
The following is a GGA-PBE calculation of an optimized crystal structure of Sr2Si2Bi, from the Alexandria database.

```
10
Lattice="-5.1611 5.4817 -2.1300 -5.8645 -5.0093 1.3180 -0.2609 1.4611 4.3923" Properties=species:S:1:pos:R:3 pbc="T T T"
Si -3.7620 2.7915 -1.1520
Si -8.1687 1.8529 -1.1015
Si -7.2636 -2.3191 0.3400
Si -2.8569 -1.3805 0.2895
Bi 0.0000 0.0000 0.0000
Bi -5.5128 0.2362 -0.4060
Sr -2.8381 1.5750 1.7544
Sr -6.2307 3.6222 0.8719
Sr -5.0557 -1.6887 2.7084
Sr -8.4483 0.3585 1.8259
```

Summary:
raw formation energy: -0.445 eV/atom
SG: P4/mbm (127)
density: 5.15 g/cm³
distance to the lowest polymorph of the same formula: 0 meV per atom


Which value of raw formation energy does entry 3 give? 0.364 eV/atom


Which value of raw formation energy does entry 12 give? -0.445 eV/atom